i:
# ZrGa3Cl | Alexandria via LeMat-Bulk | SCAN | single point on PBEsol structure
data_ZrGa3Cl
_chemical_formula_sum 'Zr1 Ga3 Cl1'
_symmetry_space_group_name_H-M 'P 1'
_symmetry_Int_Tables_number 1
_cell_length_a 5.2955
_cell_length_b 5.2955
_cell_length_c 5.2955
_cell_angle_alpha 90.00
_cell_angle_beta 90.00
_cell_angle_gamma 90.00
loop_
_symmetry_equiv_pos_as_xyz
'x,y,z'
loop_
_atom_site_label
_atom_site_type_symbol
_atom_site_fract_x
_atom_site_fract_y
_atom_site_fract_z
_atom_site_occupancy
Zr1 Zr 0.0000 0.0000 0.0000 1
Ga1 Ga 0.0000 0.0000 0.5000 1
Ga2 Ga 0.0000 0.5000 0.0000 1
Ga3 Ga 0.5000 0.0000 0.0000 1
Cl1 Cl 0.5000 0.5000 0.5000 1
# Crystal system = cubic
# Total moment = 0.51 μB per atom


ii:
# ZrGa3Cl | Alexandria via LeMat-Bulk | SCAN | single point on PBEsol structure
data_ZrGa3Cl
_chemical_formula_sum 'Zr1 Ga3 Cl1'
_symmetry_space_group_name_H-M 'P 1'
_symmetry_Int_Tables_number 1
_cell_length_a 4.7340
_cell_length_b 4.7340
_cell_length_c 4.7340
_cell_angle_alpha 90.00
_cell_angle_beta 90.00
_cell_angle_gamma 90.00
loop_
_symmetry_equiv_pos_as_xyz
'x,y,z'
loop_
_atom_site_label
_atom_site_type_symbol
_atom_site_fract_x
_atom_site_fract_y
_atom_site_fract_z
_atom_site_occupancy
Zr1 Zr 0.0000 0.0000 0.0000 1
Ga1 Ga 0.0000 0.5000 0.5000 1
Ga2 Ga 0.5000 0.0000 0.5000 1
Ga3 Ga 0.5000 0.5000 0.0000 1
Cl1 Cl 0.5000 0.5000 0.5000 1
# Crystal system = cubic
# Total moment = 0.00 μB per atom


Short version: ii, i, most stable first.


i:
# ZrGePCl2 | Alexandria via LeMat-Bulk | SCAN | single point on PBEsol structure
data_ZrGePCl2
_chemical_formula_sum 'Zr1 Ge1 P1 Cl2'
_symmetry_space_group_name_H-M 'P 1'
_symmetry_Int_Tables_number 1
_cell_length_a 4.6798
_cell_length_b 4.6798
_cell_length_c 4.8890
_cell_angle_alpha 90.00
_cell_angle_beta 90.00
_cell_angle_gamma 90.00
loop_
_symmetry_equiv_pos_as_xyz
'x,y,z'
loop_
_atom_site_label
_atom_site_type_symbol
_atom_site_fract_x
_atom_site_fract_y
_atom_site_fract_z
_atom_site_occupancy
Zr1 Zr 0.0000 0.0000 0.0000 1
Ge1 Ge 0.5000 0.5000 0.5000 1
P1 P 0.5000 0.5000 0.0000 1
Cl1 Cl 0.0000 0.5000 0.5000 1
Cl2 Cl 0.5000 0.0000 0.5000 1
# Crystal system = tetragonal
# Total moment = 0.29 μB per atom


ii:
# ZrGePCl2 | Alexandria via LeMat-Bulk | SCAN | single point on PBEsol structure
data_ZrGePCl2
_chemical_formula_sum 'Zr1 Ge1 P1 Cl2'
_symmetry_space_group_name_H-M 'P 1'
_symmetry_Int_Tables_number 1
_cell_length_a 4.8302
_cell_length_b 4.8302
_cell_length_c 5.2009
_cell_angle_alpha 90.00
_cell_angle_beta 90.00
_cell_angle_gamma 90.00
loop_
_symmetry_equiv_pos_as_xyz
'x,y,z'
loop_
_atom_site_label
_atom_site_type_symbol
_atom_site_fract_x
_atom_site_fract_y
_atom_site_fract_z
_atom_site_occupancy
Zr1 Zr 0.0000 0.0000 0.0000 1
Ge1 Ge 0.5000 0.5000 0.5000 1
P1 P 0.0000 0.0000 0.5000 1
Cl1 Cl 0.0000 0.5000 0.0000 1
Cl2 Cl 0.5000 0.0000 0.0000 1
# Crystal system = tetragonal
# Total moment = 0.16 μB per atom


Short version: ii, i, most stable first.


i:
# GeTeCl2 | Alexandria via LeMat-Bulk | SCAN | single point on PBEsol structure
data_GeTeCl2
_chemical_formula_sum 'Ge2 Te2 Cl4'
_symmetry_space_group_name_H-M 'P 1'
_symmetry_Int_Tables_number 1
_cell_length_a 6.8245
_cell_length_b 6.8245
_cell_length_c 6.8245
_cell_angle_alpha 99.47
_cell_angle_beta 99.47
_cell_angle_gamma 132.13
loop_
_symmetry_equiv_pos_as_xyz
'x,y,z'
loop_
_atom_site_label
_atom_site_type_symbol
_atom_site_fract_x
_atom_site_fract_y
_atom_site_fract_z
_atom_site_occupancy
Ge1 Ge 0.0000 0.0000 0.0000 1
Ge2 Ge 0.7500 0.2500 0.5000 1
Te1 Te 0.2500 0.7500 0.5000 1
Te2 Te 0.5000 0.5000 0.0000 1
Cl1 Cl 0.0076 0.6250 0.8826 1
Cl2 Cl 0.3750 0.2576 0.3826 1
Cl3 Cl 0.7424 0.1250 0.1174 1
Cl4 Cl 0.8750 0.9924 0.6174 1
# Crystal system = tetragonal
# Total moment = 0.37 μB per atom


ii:
# GeTeCl2 | Alexandria via LeMat-Bulk | SCAN | single point on PBEsol structure
data_GeTeCl2
_chemical_formula_sum 'Ge1 Te1 Cl2'
_symmetry_space_group_name_H-M 'P 1'
_symmetry_Int_Tables_number 1
_cell_length_a 4.9881
_cell_length_b 4.9881
_cell_length_c 4.9881
_cell_angle_alpha 60.00
_cell_angle_beta 60.00
_cell_angle_gamma 60.00
loop_
_symmetry_equiv_pos_as_xyz
'x,y,z'
loop_
_atom_site_label
_atom_site_type_symbol
_atom_site_fract_x
_atom_site_fract_y
_atom_site_fract_z
_atom_site_occupancy
Ge1 Ge 0.0000 0.0000 0.0000 1
Te1 Te 0.5000 0.5000 0.5000 1
Cl1 Cl 0.2500 0.2500 0.2500 1
Cl2 Cl 0.7500 0.7500 0.7500 1
# Crystal system = cubic
# Total moment = 0.00 μB per atom


Short version: i, ii, most stable first.


i:
# HIr2Cl | Alexandria via LeMat-Bulk | SCAN | single point on PBEsol structure
data_HIr2Cl
_chemical_formula_sum 'H1 Ir2 Cl1'
_symmetry_space_group_name_H-M 'P 1'
_symmetry_Int_Tables_number 1
_cell_length_a 4.0649
_cell_length_b 4.0649
_cell_length_c 4.0649
_cell_angle_alpha 60.00
_cell_angle_beta 60.00
_cell_angle_gamma 60.00
loop_
_symmetry_equiv_pos_as_xyz
'x,y,z'
loop_
_atom_site_label
_atom_site_type_symbol
_atom_site_fract_x
_atom_site_fract_y
_atom_site_fract_z
_atom_site_occupancy
H1 H 0.0000 0.0000 0.0000 1
Ir1 Ir 0.2500 0.2500 0.2500 1
Ir2 Ir 0.7500 0.7500 0.7500 1
Cl1 Cl 0.5000 0.5000 0.5000 1
# Crystal system = cubic
# Total moment = 0.00 μB per atom


ii:
# HIr2Cl | Alexandria via LeMat-Bulk | SCAN | single point on PBEsol structure
data_HIr2Cl
_chemical_formula_sum 'H2 Ir4 Cl2'
_symmetry_space_group_name_H-M 'P 1'
_symmetry_Int_Tables_number 1
_cell_length_a 5.6091
_cell_length_b 5.6091
_cell_length_c 5.6091
_cell_angle_alpha 128.94
_cell_angle_beta 128.94
_cell_angle_gamma 75.10
loop_
_symmetry_equiv_pos_as_xyz
'x,y,z'
loop_
_atom_site_label
_atom_site_type_symbol
_atom_site_fract_x
_atom_site_fract_y
_atom_site_fract_z
_atom_site_occupancy
H1 H 0.0000 0.0000 0.0000 1
H2 H 0.7500 0.2500 0.5000 1
Ir1 Ir 0.0113 0.6250 0.8863 1
Ir2 Ir 0.3750 0.2613 0.3863 1
Ir3 Ir 0.7387 0.1250 0.1137 1
Ir4 Ir 0.8750 0.9887 0.6137 1
Cl1 Cl 0.2500 0.7500 0.5000 1
Cl2 Cl 0.5000 0.5000 0.0000 1
# Crystal system = tetragonal
# Total moment = 0.00 μB per atom


Short version: ii, i, most stable first.


i:
# H8PdN2Cl6 | Alexandria via LeMat-Bulk | SCAN | single point on PBEsol structure
data_H8PdN2Cl6
_chemical_formula_sum 'H8 Pd1 N2 Cl6'
_symmetry_space_group_name_H-M 'P 1'
_symmetry_Int_Tables_number 1
_cell_length_a 6.8303
_cell_length_b 6.8303
_cell_length_c 6.8303
_cell_angle_alpha 60.00
_cell_angle_beta 60.00
_cell_angle_gamma 60.00
loop_
_symmetry_equiv_pos_as_xyz
'x,y,z'
loop_
_atom_site_label
_atom_site_type_symbol
_atom_site_fract_x
_atom_site_fract_y
_atom_site_fract_z
_atom_site_occupancy
H1 H 0.1880 0.1880 0.1880 1
H2 H 0.1880 0.1880 0.4359 1
H3 H 0.1880 0.4359 0.1880 1
H4 H 0.4359 0.1880 0.1880 1
H5 H 0.5641 0.8120 0.8120 1
H6 H 0.8120 0.5641 0.8120 1
H7 H 0.8120 0.8120 0.5641 1
H8 H 0.8120 0.8120 0.8120 1
Pd1 Pd 0.5000 0.5000 0.5000 1
N1 N 0.2500 0.2500 0.2500 1
N2 N 0.7500 0.7500 0.7500 1
Cl1 Cl 0.2605 0.2605 0.7395 1
Cl2 Cl 0.2605 0.7395 0.2605 1
Cl3 Cl 0.2605 0.7395 0.7395 1
Cl4 Cl 0.7395 0.2605 0.2605 1
Cl5 Cl 0.7395 0.2605 0.7395 1
Cl6 Cl 0.7395 0.7395 0.2605 1
# Crystal system = cubic
# Total moment = 0.00 μB per atom


ii:
# H8PdN2Cl6 | Alexandria via LeMat-Bulk | SCAN | single point on PBEsol structure
data_H8PdN2Cl6
_chemical_formula_sum 'H16 Pd2 N4 Cl12'
_symmetry_space_group_name_H-M 'P 1'
_symmetry_Int_Tables_number 1
_cell_length_a 6.8268
_cell_length_b 6.8105
_cell_length_c 12.1586
_cell_angle_alpha 90.00
_cell_angle_beta 123.94
_cell_angle_gamma 90.00
loop_
_symmetry_equiv_pos_as_xyz
'x,y,z'
loop_
_atom_site_label
_atom_site_type_symbol
_atom_site_fract_x
_atom_site_fract_y
_atom_site_fract_z
_atom_site_occupancy
H1 H 0.0933 0.0266 0.2452 1
H2 H 0.0933 0.4734 0.7452 1
H3 H 0.2291 0.0588 0.1638 1
H4 H 0.2291 0.4412 0.6638 1
H5 H 0.2723 0.6501 0.7521 1
H6 H 0.2723 0.8499 0.2521 1
H7 H 0.3910 0.0672 0.3321 1
H8 H 0.3910 0.4328 0.8321 1
H9 H 0.6090 0.5672 0.1679 1
H10 H 0.6090 0.9328 0.6679 1
H11 H 0.7277 0.1501 0.7479 1
H12 H 0.7277 0.3499 0.2479 1
H13 H 0.7709 0.5588 0.3362 1
H14 H 0.7709 0.9412 0.8362 1
H15 H 0.9067 0.5266 0.2548 1
H16 H 0.9067 0.9734 0.7548 1
Pd1 Pd 0.5000 0.0000 0.0000 1
Pd2 Pd 0.5000 0.5000 0.5000 1
N1 N 0.2468 0.0009 0.2484 1
N2 N 0.2468 0.4991 0.7484 1
N3 N 0.7532 0.5009 0.2516 1
N4 N 0.7532 0.9991 0.7516 1
Cl1 Cl 0.2421 0.2135 0.0054 1
Cl2 Cl 0.2421 0.2865 0.5054 1
Cl3 Cl 0.2544 0.5143 0.2711 1
Cl4 Cl 0.2544 0.9857 0.7711 1
Cl5 Cl 0.3000 0.7365 0.0127 1
Cl6 Cl 0.3000 0.7635 0.5127 1
Cl7 Cl 0.7000 0.2365 0.4873 1
Cl8 Cl 0.7000 0.2635 0.9873 1
Cl9 Cl 0.7456 0.0143 0.2289 1
Cl10 Cl 0.7456 0.4857 0.7289 1
Cl11 Cl 0.7579 0.7135 0.4946 1
Cl12 Cl 0.7579 0.7865 0.9946 1
# Crystal system = monoclinic
# Total moment = 0.00 μB per atom


Short version: ii, i, most stable first.


i:
# SnHSCl2 | Alexandria via LeMat-Bulk | SCAN | single point on PBEsol structure
data_SnHSCl2
_chemical_formula_sum 'Sn1 H1 S1 Cl2'
_symmetry_space_group_name_H-M 'P 1'
_symmetry_Int_Tables_number 1
_cell_length_a 5.1240
_cell_length_b 5.1240
_cell_length_c 3.3200
_cell_angle_alpha 90.00
_cell_angle_beta 90.00
_cell_angle_gamma 90.00
loop_
_symmetry_equiv_pos_as_xyz
'x,y,z'
loop_
_atom_site_label
_atom_site_type_symbol
_atom_site_fract_x
_atom_site_fract_y
_atom_site_fract_z
_atom_site_occupancy
Sn1 Sn 0.0000 0.0000 0.0000 1
H1 H 0.5000 0.5000 0.5000 1
S1 S 0.5000 0.5000 0.0000 1
Cl1 Cl 0.0000 0.5000 0.5000 1
Cl2 Cl 0.5000 0.0000 0.5000 1
# Crystal system = tetragonal
# Total moment = 0.18 μB per atom


ii:
# SnHSCl2 | Alexandria via LeMat-Bulk | SCAN | single point on PBEsol structure
data_SnHSCl2
_chemical_formula_sum 'Sn1 H1 S1 Cl2'
_symmetry_space_group_name_H-M 'P 1'
_symmetry_Int_Tables_number 1
_cell_length_a 5.1193
_cell_length_b 5.1193
_cell_length_c 4.8806
_cell_angle_alpha 90.00
_cell_angle_beta 90.00
_cell_angle_gamma 90.00
loop_
_symmetry_equiv_pos_as_xyz
'x,y,z'
loop_
_atom_site_label
_atom_site_type_symbol
_atom_site_fract_x
_atom_site_fract_y
_atom_site_fract_z
_atom_site_occupancy
Sn1 Sn 0.0000 0.0000 0.0000 1
H1 H 0.5000 0.5000 0.5000 1
S1 S 0.0000 0.0000 0.5000 1
Cl1 Cl 0.0000 0.5000 0.0000 1
Cl2 Cl 0.5000 0.0000 0.0000 1
# Crystal system = tetragonal
# Total moment = 0.11 μB per atom


Short version: i, ii, most stable first.